No. 1
! GGA-PBE LaOsPt3, optimized geometry; values from VASP
&SYSTEM
  ibrav = 0, nat = 5, ntyp = 3
/
ATOMIC_SPECIES
La 138.91 La.upf
Os 190.23 Os.upf
Pt 195.08 Pt.upf
ATOMIC_POSITIONS crystal
La 0.0000 0.0000 0.0000
Os 0.5000 0.5000 0.5000
Pt 0.0000 0.0000 0.5000
Pt 0.0000 0.5000 0.0000
Pt 0.5000 0.0000 0.0000
CELL_PARAMETERS angstrom
5.0357 0.0000 0.0000
0.0000 5.0357 0.0000
0.0000 0.0000 5.0357
! calculated volume = 25.54 A^3/atom
! M_tot = 0.00 μB per formula unit
! E_form = 1995 meV/atom
! E above lowest polymorph = 179.9 kJ per mole of atoms
! density of states at the Fermi level = 8.5 states/eV/f.u.


No. 2
! GGA-PBE LaOs2Pt, optimized geometry; values from VASP
&SYSTEM
  ibrav = 0, nat = 4, ntyp = 3
/
ATOMIC_SPECIES
La 138.91 La.upf
Os 190.23 Os.upf
Pt 195.08 Pt.upf
ATOMIC_POSITIONS crystal
La 0.0000 0.0000 0.0000
Os 0.0000 0.5000 0.5000
Os 0.5000 0.0000 0.5000
Pt 0.5000 0.5000 0.0000
CELL_PARAMETERS angstrom
2.9279 -4.1678 0.0000
2.9279 4.1678 0.0000
0.0000 0.0000 2.9191
! calculated volume = 17.81 A^3/atom
! M_tot = 0.00 μB per formula unit
! E_form = 427 meV/atom
! E above lowest polymorph = 60.1 kJ per mole of atoms
! density of states at the Fermi level = 4.2 states/eV/f.u.